# TlCuP3O9

An optimized crystal structure of TlCuP3O9 (GGA-PBE, Alexandria).

Calculated values
Formation energy without anion corrections, eV/atom: -1.801

a b c (Å): 5.313 11.687 13.437
angles (deg): 90.00 98.91 90.00
Space group P2_1/c (No. 14)
One atom of each set of equivalent atoms:
Tl (0.048, 0.142, 0.249) [4 per cell]
Cu (0.000, 0.000, 0.000) [2 per cell]
Cu (0.000, 0.000, 0.500) [2 per cell]
P (0.248, 0.748, 0.008) [4 per cell]
P (0.487, 0.595, 0.870) [4 per cell]
P (0.495, 0.081, 0.850) [4 per cell]
O (0.053, 0.662, 0.471) [4 per cell]
O (0.160, 0.644, 0.060) [4 per cell]
O (0.225, 0.042, 0.835) [4 per cell]
O (0.228, 0.089, 0.601) [4 per cell]
O (0.300, 0.004, 0.108) [4 per cell]
O (0.320, 0.003, 0.388) [4 per cell]
O (0.385, 0.713, 0.914) [4 per cell]
O (0.431, 0.636, 0.753) [4 per cell]
O (0.482, 0.697, 0.583) [4 per cell]